# 1
# PBE-GGA Ho3P5Se12, optimized geometry
data_Ho3P5Se12
_cell_length_a 13.7415
_cell_length_b 13.7415
_cell_length_c 13.7415
_cell_angle_alpha 109.47
_cell_angle_beta 109.47
_cell_angle_gamma 109.47
_space_group_name_H-M_alt 'P 1'
_space_group_IT_number 1
_space_group_name_Hall 'P 1'
loop_
_atom_site_label
_atom_site_fract_x
_atom_site_fract_y
_atom_site_fract_z
Ho1 0.1250 0.2500 0.3750
Ho2 0.1250 0.3750 0.7500
Ho3 0.2500 0.3750 0.1250
Ho4 0.2500 0.8750 0.6250
Ho5 0.3750 0.1250 0.2500
Ho6 0.3750 0.7500 0.1250
Ho7 0.6250 0.2500 0.8750
Ho8 0.6250 0.8750 0.7500
Ho9 0.7500 0.1250 0.3750
Ho10 0.7500 0.6250 0.8750
Ho11 0.8750 0.6250 0.2500
Ho12 0.8750 0.7500 0.6250
P1 0.0000 0.0000 0.0000
P2 0.0000 0.0000 0.5000
P3 0.0000 0.5000 0.0000
P4 0.0000 0.5000 0.5000
P5 0.1250 0.7500 0.8750
P6 0.1250 0.8750 0.2500
P7 0.2500 0.1250 0.8750
P8 0.2500 0.6250 0.3750
P9 0.3750 0.2500 0.6250
P10 0.3750 0.6250 0.7500
P11 0.5000 0.0000 0.0000
P12 0.5000 0.0000 0.5000
P13 0.5000 0.5000 0.0000
P14 0.5000 0.5000 0.5000
P15 0.6250 0.3750 0.2500
P16 0.6250 0.7500 0.3750
P17 0.7500 0.3750 0.6250
P18 0.7500 0.8750 0.1250
P19 0.8750 0.1250 0.7500
P20 0.8750 0.2500 0.1250
Se1 0.0370 0.2097 0.1284
Se2 0.0370 0.3272 0.9086
Se3 0.0813 0.7097 0.6728
Se4 0.0813 0.8716 0.4086
Se5 0.0914 0.6284 0.4187
Se6 0.0914 0.9630 0.6728
Se7 0.1284 0.0370 0.2097
Se8 0.1284 0.5914 0.9187
Se9 0.1728 0.2097 0.5813
Se10 0.1728 0.4630 0.5914
Se11 0.2097 0.1284 0.0370
Se12 0.2097 0.5813 0.1728
Se13 0.2903 0.3272 0.9187
Se14 0.2903 0.4630 0.3716
Se15 0.3272 0.9086 0.0370
Se16 0.3272 0.9187 0.2903
Se17 0.3716 0.2903 0.4630
Se18 0.3716 0.5813 0.9086
Se19 0.4086 0.0813 0.8716
Se20 0.4086 0.8272 0.5370
Se21 0.4187 0.0914 0.6284
Se22 0.4187 0.8272 0.7903
Se23 0.4630 0.3716 0.2903
Se24 0.4630 0.5914 0.1728
Se25 0.5370 0.4086 0.8272
Se26 0.5370 0.6284 0.7097
Se27 0.5813 0.1728 0.2097
Se28 0.5813 0.9086 0.3716
Se29 0.5914 0.1728 0.4630
Se30 0.5914 0.9187 0.1284
Se31 0.6284 0.4187 0.0914
Se32 0.6284 0.7097 0.5370
Se33 0.6728 0.0813 0.7097
Se34 0.6728 0.0914 0.9630
Se35 0.7097 0.5370 0.6284
Se36 0.7097 0.6728 0.0813
Se37 0.7903 0.4187 0.8272
Se38 0.7903 0.8716 0.9630
Se39 0.8272 0.5370 0.4086
Se40 0.8272 0.7903 0.4187
Se41 0.8716 0.4086 0.0813
Se42 0.8716 0.9630 0.7903
Se43 0.9086 0.0370 0.3272
Se44 0.9086 0.3716 0.5813
Se45 0.9187 0.1284 0.5914
Se46 0.9187 0.2903 0.3272
Se47 0.9630 0.6728 0.0914
Se48 0.9630 0.7903 0.8716
# - E_form (uncorrected) (eV/atom) = -0.51
# - symmetry = Ia-3d
# - density (g cm⁻³) = 5.3


# 2
# PBE-GGA Ho3P2Se, optimized geometry
data_Ho3P2Se
_cell_length_a 8.9639
_cell_length_b 8.9639
_cell_length_c 8.9639
_cell_angle_alpha 154.16
_cell_angle_beta 154.16
_cell_angle_gamma 36.87
_space_group_name_H-M_alt 'P 1'
_space_group_IT_number 1
_space_group_name_Hall 'P 1'
loop_
_atom_site_label
_atom_site_fract_x
_atom_site_fract_y
_atom_site_fract_z
Ho1 0.0000 0.0000 0.0000
Ho2 0.3280 0.3280 0.0000
Ho3 0.6720 0.6720 0.0000
P1 0.1644 0.1644 0.0000
P2 0.8356 0.8356 0.0000
Se1 0.5000 0.5000 0.0000
# - E_form (uncorrected) (eV/atom) = -1.71
# - symmetry = I4/mmm
# - density (g cm⁻³) = 7.7


# 3
# PBE-GGA Ho4PSe3, optimized geometry
data_Ho4PSe3
_cell_length_a 7.0219
_cell_length_b 7.0219
_cell_length_c 4.0163
_cell_angle_alpha 90.00
_cell_angle_beta 90.00
_cell_angle_gamma 109.12
_space_group_name_H-M_alt 'P 1'
_space_group_IT_number 1
_space_group_name_Hall 'P 1'
loop_
_atom_site_label
_atom_site_fract_x
_atom_site_fract_y
_atom_site_fract_z
Ho1 0.2301 0.2301 0.5000
Ho2 0.2377 0.7623 0.0000
Ho3 0.7623 0.2377 0.0000
Ho4 0.7699 0.7699 0.5000
P1 0.0000 0.0000 0.0000
Se1 0.0000 0.5000 0.5000
Se2 0.5000 0.0000 0.5000
Se3 0.5000 0.5000 0.0000
# - E_form (uncorrected) (eV/atom) = -1.77
# - symmetry = Cmmm
# - density (g cm⁻³) = 8.2


# 4
# PBE-GGA Ho6PSe5, optimized geometry
data_Ho6PSe5
_cell_length_a 7.0154
_cell_length_b 7.0154
_cell_length_c 7.0236
_cell_angle_alpha 99.51
_cell_angle_beta 99.51
_cell_angle_gamma 120.10
_space_group_name_H-M_alt 'P 1'
_space_group_IT_number 1
_space_group_name_Hall 'P 1'
loop_
_atom_site_label
_atom_site_fract_x
_atom_site_fract_y
_atom_site_fract_z
Ho1 0.0781 0.3917 0.7354
Ho2 0.2348 0.2348 0.2632
Ho3 0.3917 0.0781 0.7354
Ho4 0.6083 0.9219 0.2646
Ho5 0.7652 0.7652 0.7368
Ho6 0.9219 0.6083 0.2646
P1 0.0000 0.0000 0.5000
Se1 0.1714 0.8286 0.0000
Se2 0.3339 0.6661 0.5000
Se3 0.5000 0.5000 0.0000
Se4 0.6661 0.3339 0.5000
Se5 0.8286 0.1714 0.0000
# - E_form (uncorrected) (eV/atom) = -1.76
# - symmetry = C2/m
# - density (g cm⁻³) = 8.3


# 5
# PBE-GGA Ho8PSe6, optimized geometry
data_Ho8PSe6
_cell_length_a 10.2358
_cell_length_b 10.2358
_cell_length_c 4.0721
_cell_angle_alpha 90.00
_cell_angle_beta 90.00
_cell_angle_gamma 120.00
_space_group_name_H-M_alt 'P 1'
_space_group_IT_number 1
_space_group_name_Hall 'P 1'
loop_
_atom_site_label
_atom_site_fract_x
_atom_site_fract_y
_atom_site_fract_z
Ho1 0.0277 0.7306 0.2386
Ho2 0.2694 0.2971 0.2386
Ho3 0.2971 0.0277 0.7614
Ho4 0.3333 0.6667 0.7546
Ho5 0.6667 0.3333 0.2454
Ho6 0.7029 0.9723 0.2386
Ho7 0.7306 0.7029 0.7614
Ho8 0.9723 0.2694 0.7614
P1 0.0000 0.0000 0.0000
Se1 0.1279 0.4768 0.2540
Se2 0.3489 0.8721 0.2540
Se3 0.4768 0.3489 0.7460
Se4 0.5232 0.6511 0.2540
Se5 0.6511 0.1279 0.7460
Se6 0.8721 0.5232 0.7460
# - E_form (uncorrected) (eV/atom) = -1.27
# - symmetry = P-3
# - density (g cm⁻³) = 8.2


# 6
# PBE-GGA Ho4P2Se, optimized geometry
data_Ho4P2Se
_cell_length_a 13.1655
_cell_length_b 13.1655
_cell_length_c 13.1655
_cell_angle_alpha 17.22
_cell_angle_beta 17.22
_cell_angle_gamma 17.22
_space_group_name_H-M_alt 'P 1'
_space_group_IT_number 1
_space_group_name_Hall 'P 1'
loop_
_atom_site_label
_atom_site_fract_x
_atom_site_fract_y
_atom_site_fract_z
Ho1 0.1274 0.1274 0.1274
Ho2 0.2862 0.2862 0.2862
Ho3 0.7138 0.7138 0.7138
Ho4 0.8726 0.8726 0.8726
P1 0.4201 0.4201 0.4201
P2 0.5799 0.5799 0.5799
Se1 0.0000 0.0000 0.0000
# - E_form (uncorrected) (eV/atom) = -1.43
# - symmetry = R-3m
# - density (g cm⁻³) = 7.6


# 7
# PBE-GGA Ho2PSe, optimized geometry
data_Ho2PSe
_cell_length_a 4.0038
_cell_length_b 5.6719
_cell_length_c 8.1256
_cell_angle_alpha 90.00
_cell_angle_beta 90.00
_cell_angle_gamma 90.00
_space_group_name_H-M_alt 'P 1'
_space_group_IT_number 1
_space_group_name_Hall 'P 1'
loop_
_atom_site_label
_atom_site_fract_x
_atom_site_fract_y
_atom_site_fract_z
Ho1 0.2500 0.2500 0.1106
Ho2 0.2500 0.2500 0.6477
Ho3 0.7500 0.7500 0.3523
Ho4 0.7500 0.7500 0.8894
P1 0.2500 0.7500 0.1244
P2 0.7500 0.2500 0.8756
Se1 0.2500 0.7500 0.6201
Se2 0.7500 0.2500 0.3799
# - E_form (uncorrected) (eV/atom) = -1.77
# - symmetry = Pmmn
# - density (g cm⁻³) = 7.9


# 8
# PBE-GGA Ho2PSe, optimized geometry
data_Ho2PSe
_cell_length_a 3.9883
_cell_length_b 6.8547
_cell_length_c 6.9758
_cell_angle_alpha 90.00
_cell_angle_beta 90.00
_cell_angle_gamma 90.00
_space_group_name_H-M_alt 'P 1'
_space_group_IT_number 1
_space_group_name_Hall 'P 1'
loop_
_atom_site_label
_atom_site_fract_x
_atom_site_fract_y
_atom_site_fract_z
Ho1 0.2500 0.0031 0.2312
Ho2 0.2500 0.4969 0.2312
Ho3 0.7500 0.5031 0.7688
Ho4 0.7500 0.9969 0.7688
P1 0.2500 0.7500 0.9150
P2 0.7500 0.2500 0.0850
Se1 0.2500 0.2500 0.5798
Se2 0.7500 0.7500 0.4202
# - E_form (uncorrected) (eV/atom) = -1.64
# - symmetry = Pmmn
# - density (g cm⁻³) = 7.7


# 9
# PBE-GGA Ho8P4Se3, optimized geometry
data_Ho8P4Se3
_cell_length_a 7.9855
_cell_length_b 7.9855
_cell_length_c 7.9791
_cell_angle_alpha 119.87
_cell_angle_beta 119.87
_cell_angle_gamma 90.13
_space_group_name_H-M_alt 'P 1'
_space_group_IT_number 1
_space_group_name_Hall 'P 1'
loop_
_atom_site_label
_atom_site_fract_x
_atom_site_fract_y
_atom_site_fract_z
Ho1 0.2358 0.2358 0.9847
Ho2 0.2419 0.2419 0.4890
Ho3 0.2424 0.7576 0.0000
Ho4 0.2443 0.7557 0.5000
Ho5 0.7557 0.2443 0.5000
Ho6 0.7576 0.2424 0.0000
Ho7 0.7581 0.7581 0.5110
Ho8 0.7642 0.7642 0.0153
P1 0.0000 0.0000 0.0000
P2 0.0000 0.0000 0.5000
P3 0.0000 0.5000 0.5000
P4 0.5000 0.0000 0.5000
Se1 0.0000 0.5000 0.0000
Se2 0.5000 0.0000 0.0000
Se3 0.5000 0.5000 0.0000
# - E_form (uncorrected) (eV/atom) = -1.60
# - symmetry = C2/m
# - density (g cm⁻³) = 7.7


# 10
# PBE-GGA Ho4P3Se, optimized geometry
data_Ho4P3Se
_cell_length_a 6.9333
_cell_length_b 6.9333
_cell_length_c 6.9333
_cell_angle_alpha 131.82
_cell_angle_beta 131.82
_cell_angle_gamma 70.52
_space_group_name_H-M_alt 'P 1'
_space_group_IT_number 1
_space_group_name_Hall 'P 1'
loop_
_atom_site_label
_atom_site_fract_x
_atom_site_fract_y
_atom_site_fract_z
Ho1 0.0000 0.5000 0.5000
Ho2 0.2426 0.2426 0.0000
Ho3 0.5000 0.0000 0.5000
Ho4 0.7574 0.7574 0.0000
P1 0.0000 0.0000 0.0000
P2 0.2500 0.7500 0.5000
P3 0.7500 0.2500 0.5000
Se1 0.5000 0.5000 0.0000
# - E_form (uncorrected) (eV/atom) = -1.70
# - symmetry = I4/mmm
# - density (g cm⁻³) = 7.6


# 11
# PBE-GGA Ho8Si3PSe4, optimized geometry
data_Ho8Si3PSe4
_cell_length_a 8.1999
_cell_length_b 8.1999
_cell_length_c 8.1999
_cell_angle_alpha 59.53
_cell_angle_beta 59.53
_cell_angle_gamma 59.53
_space_group_name_H-M_alt 'P 1'
_space_group_IT_number 1
_space_group_name_Hall 'P 1'
loop_
_atom_site_label
_atom_site_fract_x
_atom_site_fract_y
_atom_site_fract_z
Ho1 0.2444 0.7440 0.7440
Ho2 0.2454 0.2454 0.2454
Ho3 0.2560 0.2560 0.7556
Ho4 0.2560 0.7556 0.2560
Ho5 0.7440 0.2444 0.7440
Ho6 0.7440 0.7440 0.2444
Ho7 0.7546 0.7546 0.7546
Ho8 0.7556 0.2560 0.2560
Si1 0.0000 0.0000 0.5000
Si2 0.0000 0.5000 0.0000
Si3 0.5000 0.0000 0.0000
P1 0.5000 0.5000 0.5000
Se1 0.0000 0.0000 0.0000
Se2 0.0000 0.5000 0.5000
Se3 0.5000 0.0000 0.5000
Se4 0.5000 0.5000 0.0000
# - E_form (uncorrected) (eV/atom) = -1.42
# - symmetry = R-3m
# - density (g cm⁻³) = 7.5


# 12
# PBE-GGA SmHoPSe, optimized geometry
data_SmHoPSe
_cell_length_a 7.4029
_cell_length_b 7.4029
_cell_length_c 7.4029
_cell_angle_alpha 31.37
_cell_angle_beta 31.37
_cell_angle_gamma 31.37
_space_group_name_H-M_alt 'P 1'
_space_group_IT_number 1
_space_group_name_Hall 'P 1'
loop_
_atom_site_label
_atom_site_fract_x
_atom_site_fract_y
_atom_site_fract_z
Sm1 0.0000 0.0000 0.0000
Ho1 0.8156 0.8156 0.8156
P1 0.4119 0.4119 0.4119
Se1 0.2375 0.2375 0.2375
# - E_form (uncorrected) (eV/atom) = -1.72
# - symmetry = R3m
# - density (g cm⁻³) = 7.2


- Number 2 is which compound?
  Ho3P2Se